# LaGeB

A relaxed structure of LaGeB (GGA-PBE, Alexandria via LeMat-Bulk).

```
LaGeB
1.0
-0.9290 -0.3999 3.5914
3.0171 -1.7148 -1.3486
4.0002 9.3177 2.0723
B La Ge
2 2 2
Cartesian
4.4372 4.4383 1.6420
1.6511 2.7647 2.6731
2.2644 -0.0612 2.5171
3.8239 7.2641 1.7980
3.1397 2.5774 1.0991
2.9486 4.6256 3.2159
```

Calculated values
The total energy comes out at -0.198 Ha/atom. For the energy relative to the elements, the calculation gives 0.022 eV per atom.